(1)
PmDyGa2Ir2: relaxed, GGA-PBE.

For the magnetic moment, the calculation gives 0.0 μB per formula unit. The calculation puts the total energy at -37.764 eV per cell.

It has space group P-3m1 (No. 164), with a = 4.4086 Å, b = 4.4086 Å, c = 7.2416 Å, α = 90.00°, β = 90.00° and γ = 120.00°. The asymmetric unit holds Pm at (0.0000, 0.0000, 0.0000), Dy at (0.0000, 0.0000, 0.5000), Ga at (0.3333, 0.6667, 0.2653) and Ir at (0.3333, 0.6667, 0.7354).

(2)
MgZrSN2: relaxed, GGA-PBE.

The relative energy among the computed polymorphs is 52.8 kJ/mol of atoms. For the magnetic moment, the calculation gives 0.2 μB per formula unit. The calculation puts the total energy at -28.644 eV per cell. The calculation puts the uncorrected formation energy at 0.46 eV/atom.

It has space group P4/mmm (No. 123), with a = 3.8692 Å, b = 3.8692 Å, c = 4.7441 Å, α = 90.00°, β = 90.00° and γ = 90.00°. The asymmetric unit holds Mg at (0.0000, 0.0000, 0.0000), Zr at (0.5000, 0.5000, 0.5000), S at (0.0000, 0.0000, 0.5000) and N at (0.0000, 0.5000, 0.0000).

(3)
Ir3ClF: relaxed, GGA-PBE.

The relative energy among the computed polymorphs is 0.0 kJ/mol of atoms. For the magnetic moment, the calculation gives 2.1 μB per formula unit. The calculation puts the total energy at -21.743 eV per cell. The calculation puts the uncorrected formation energy at 1.71 eV/atom.

It has space group Pm-3m (No. 221), with a = 4.4284 Å, b = 4.4284 Å, c = 4.4284 Å, α = 90.00°, β = 90.00° and γ = 90.00°. The asymmetric unit holds Ir at (0.0000, 0.0000, 0.5000), Cl at (0.0000, 0.0000, 0.0000) and F at (0.5000, 0.5000, 0.5000).